[1]
Entry from the Alexandria database: HoErTlTc after structural relaxation (GGA-PBE).

calculated density	11.498	g/cm3
total DFT energy (no corrections)	-5.542	eV per atom
formation energy	-0.074	eV/atom

The structure in extended XYZ format:
```
4
Lattice="-4.792 1.584 0.373 -3.032 -0.134 -4.050 -3.794 -3.342 -0.211" Properties=species:S:1:pos:R:3 pbc="T T T"
Tl 0.000 0.000 0.000
Tc -5.809 -0.946 -1.944
Er -2.904 -0.473 -0.972
Ho -8.713 -1.419 -2.915
```


[2]
Entry from the Alexandria database: HoErZnTc after structural relaxation (GGA-PBE).

calculated density	9.936	g/cm3
total DFT energy (no corrections)	-5.366	eV per atom
formation energy	-0.171	eV/atom

The structure in extended XYZ format:
```
4
Lattice="-2.680 -1.159 3.926 0.744 -4.254 2.301 2.058 -0.053 4.439" Properties=species:S:1:pos:R:3 pbc="T T T"
Zn 0.091 -4.100 7.999
Er 0.061 -2.733 5.332
Ho 0.000 0.000 0.000
Tc 0.030 -1.367 2.666
```


[3]
Entry from the Alexandria database: HoErTe after structural relaxation (GGA-PBE).

calculated density	9.033	g/cm3
E above lowest polymorph	0.000	eV per atom
total DFT energy (no corrections)	-4.917	eV per atom
formation energy from raw total energies	-2.47	eV per formula unit

The structure in extended XYZ format:
```
12
Lattice="3.916 0.000 0.000 0.000 8.179 0.000 0.000 0.000 10.556" Properties=species:S:1:pos:R:3 pbc="T T T"
Er 0.979 1.277 9.972
Ho 2.937 4.071 8.879
Te 2.937 1.654 1.797
Ho 0.979 0.019 3.601
Ho 2.937 8.161 6.955
Er 2.937 2.813 4.695
Te 2.937 5.744 3.481
Er 2.937 6.903 0.583
Ho 0.979 4.108 1.677
Te 0.979 6.525 8.759
Er 0.979 5.366 5.861
Te 0.979 2.436 7.075
```


[4]
Entry from the Alexandria database: HoEr5Te4 after structural relaxation (GGA-PBE).

calculated density	8.176	g/cm3
total DFT energy (no corrections)	-4.862	eV per atom
formation energy from raw total energies	-8.66	eV per formula unit

The structure in extended XYZ format:
```
10
Lattice="-2.720 2.284 -2.038 3.860 -1.921 -7.306 -4.788 -7.747 1.822" Properties=species:S:1:pos:R:3 pbc="T T T"
Er -0.945 -3.203 -2.329
Er 1.000 -3.651 -5.428
Er -2.703 -4.181 -5.193
Te 0.833 -0.664 -1.856
Er 0.570 0.182 -4.672
Er -4.648 -3.733 -2.095
Te -3.192 -1.203 -1.203
Te -0.456 -6.180 -6.319
Ho -1.360 1.142 -1.019
Te -4.481 -6.719 -5.666
```


[5]
Entry from the Alexandria database: Ho3ErTe4 after structural relaxation (GGA-PBE).

calculated density	8.483	g/cm3
E above lowest polymorph	0.000	eV per atom
total DFT energy (no corrections)	-5.095	eV per atom
formation energy from raw total energies	-9.89	eV per formula unit

The structure in extended XYZ format:
```
16
Lattice="7.522 0.086 0.000 -2.556 7.084 0.000 0.000 0.000 8.579" Properties=species:S:1:pos:R:3 pbc="T T T"
Te 6.886 1.848 1.065
Er 5.642 0.064 7.497
Ho 1.881 0.021 5.358
Te 1.842 5.364 1.065
Ho 5.642 0.064 3.221
Te -1.914 5.315 3.214
Te 3.119 1.811 3.214
Te 3.125 1.805 7.514
Te 6.880 1.854 5.364
Ho 4.364 3.606 5.359
Te 1.847 5.358 5.364
Ho 0.603 3.563 3.219
Ho 0.603 3.563 7.499
Te -1.919 5.322 7.514
Er 1.881 0.021 1.082
Ho 4.364 3.606 1.080
```


[6]
Entry from the Alexandria database: HoErTe after structural relaxation (GGA-PBE).

calculated density	8.403	g/cm3
E above lowest polymorph	0.058	eV per atom
total DFT energy (no corrections)	-4.859	eV per atom
formation energy from raw total energies	-2.30	eV per formula unit

The structure in extended XYZ format:
```
6
Lattice="-4.921 -1.733 3.119 3.063 -2.346 0.985 3.140 6.065 4.556" Properties=species:S:1:pos:R:3 pbc="T T T"
Er -2.381 -1.887 2.905
Ho 1.115 0.849 6.472
Te 0.989 3.170 4.343
Ho 0.168 1.137 2.188
Er 3.663 3.873 5.754
Te 0.293 -1.184 4.317
```


[7]
Entry from the Alexandria database: Ho3ErTe4 after structural relaxation (GGA-PBE).

calculated density	6.499	g/cm3
E above lowest polymorph	0.310	eV per atom
total DFT energy (no corrections)	-4.784	eV per atom
formation energy from raw total energies	-7.41	eV per formula unit

The structure in extended XYZ format:
```
16
Lattice="8.226 0.000 0.000 0.000 7.834 0.000 0.000 0.000 9.298" Properties=species:S:1:pos:R:3 pbc="T T T"
Te 1.802 6.633 0.000
Te 5.000 5.073 2.580
Te 5.915 1.201 4.649
Ho 4.880 6.602 0.000
Ho 3.799 2.268 2.780
Te 0.861 6.058 4.649
Te 0.887 2.761 7.229
Te 5.000 5.073 6.718
Er 7.886 0.920 0.000
Ho 7.912 5.566 7.428
Ho 0.767 1.232 4.649
Te 0.887 2.761 2.069
Te 4.974 1.777 0.000
Er 3.773 6.914 4.649
Ho 3.799 2.268 6.518
Ho 7.912 5.566 1.869
```


[8]
Entry from the Alexandria database: Ho2ErTe3 after structural relaxation (GGA-PBE).

calculated density	8.429	g/cm3
E above lowest polymorph	0.000	eV per atom
total DFT energy (no corrections)	-5.116	eV per atom
formation energy from raw total energies	-7.56	eV per formula unit

The structure in extended XYZ format:
```
12
Lattice="-6.819 -1.231 1.955 -1.415 -3.313 6.233 -2.950 5.322 6.317" Properties=species:S:1:pos:R:3 pbc="T T T"
Te -3.375 2.510 7.494
Ho -8.439 2.290 11.774
Ho -8.337 -1.124 9.983
Te -5.074 -0.217 4.280
Ho -2.847 1.901 4.522
Te -7.809 -1.733 7.011
Te -3.738 -2.012 7.777
Ho -2.745 -1.512 2.731
Te -6.110 0.994 10.226
Te -7.446 2.789 6.728
Er -5.592 0.389 7.253
Er 0.000 0.000 0.000
```


[9]
Entry from the Alexandria database: Ho3ErTe6 after structural relaxation (GGA-PBE).

calculated density	6.564	g/cm3
E above lowest polymorph	0.008	eV per atom
total DFT energy (no corrections)	-5.033	eV per atom
formation energy from raw total energies	-13.18	eV per formula unit

The structure in extended XYZ format:
```
20
Lattice="8.973 0.059 0.060 -0.136 8.972 0.060 -0.136 -0.139 8.971" Properties=species:S:1:pos:R:3 pbc="T T T"
Te 3.946 5.205 7.424
Ho 2.088 5.159 0.786
Ho 6.612 3.733 8.305
Te 3.583 1.559 4.869
Te 0.649 2.705 8.217
Ho 0.625 2.102 5.175
Er 0.000 0.000 0.000
Te 2.690 8.199 0.889
Ho 3.588 8.155 6.874
Te 0.562 8.066 6.204
Te 7.220 4.104 5.368
Te 6.010 0.692 8.202
Te 5.118 7.333 4.222
Te 8.052 6.186 0.874
Ho 8.075 6.789 3.916
Te 1.481 4.788 3.723
Te 4.754 3.687 1.667
Ho 5.112 0.737 2.217
Te 8.139 0.826 2.887
Er 4.350 4.446 4.546
```


[10]
Entry from the Alexandria database: HoEr3Te2 after structural relaxation (GGA-PBE).

calculated density	8.926	g/cm3
total DFT energy (no corrections)	-4.838	eV per atom
formation energy from raw total energies	-4.48	eV per formula unit

The structure in extended XYZ format:
```
12
Lattice="-2.927 2.381 0.971 -1.614 -0.687 -10.997 -2.879 -6.659 7.648" Properties=species:S:1:pos:R:3 pbc="T T T"
Te -5.428 -5.027 -4.037
Er -5.841 -2.062 -4.736
Er -3.349 -3.002 -2.736
Ho -6.386 -4.244 -1.027
Te -3.529 0.161 -3.217
Er -4.071 -1.963 0.358
Te -3.891 -5.126 0.840
Er -4.589 -4.006 3.806
Ho -1.034 -0.721 -1.351
Er -2.831 -0.959 -6.183
Te -1.992 0.062 1.660
Er -1.579 -2.903 2.358
```


[11]
Entry from the Alexandria database: HoEr5Te6 after structural relaxation (GGA-PBE).

calculated density	8.581	g/cm3
total DFT energy (no corrections)	-5.069	eV per atom
formation energy from raw total energies	-14.59	eV per formula unit

The structure in extended XYZ format:
```
12
Lattice="-2.912 6.876 -0.314 -7.209 -0.416 -1.925 -5.255 -0.620 5.309" Properties=species:S:1:pos:R:3 pbc="T T T"
Te -7.582 4.849 -1.677
Te -8.694 4.563 2.490
Te -6.683 1.276 0.580
Te -4.544 4.907 1.382
Er -4.154 -0.345 1.126
Er -9.210 2.886 -0.013
Er -8.310 -0.691 2.258
Te -2.540 1.611 -0.563
Te -10.832 0.933 1.688
Ho 0.000 0.000 0.000
Er -5.061 3.230 -1.120
Er -6.167 2.954 3.083
```


[12]
Entry from the Alexandria database: Ho5Er4Te2 after structural relaxation (GGA-PBE).

calculated density	8.357	g/cm3
total DFT energy (no corrections)	-4.558	eV per atom
formation energy from raw total energies	-2.71	eV per formula unit

The structure in extended XYZ format:
```
11
Lattice="-4.410 -3.560 1.292 -2.161 -3.419 4.175 -11.995 10.036 8.862" Properties=species:S:1:pos:R:3 pbc="T T T"
Er -12.127 4.218 9.251
Er -6.439 -1.161 5.078
Te -7.973 5.330 5.957
Ho -5.488 2.124 4.176
Te -10.593 -2.273 8.372
Ho -13.915 6.874 10.515
Ho -13.077 0.933 10.153
Ho -9.283 1.528 7.165
Er -3.713 -0.529 2.922
Er -14.852 3.586 11.407
Ho -4.651 -3.817 3.814
```


[13]
Entry from the Alexandria database: HoEr2Te2 after structural relaxation (GGA-PBE).

calculated density	8.477	g/cm3
total DFT energy (no corrections)	-4.649	eV per atom
formation energy from raw total energies	-3.26	eV per formula unit

The structure in extended XYZ format:
```
5
Lattice="-2.083 3.505 -2.249 -4.357 -0.377 1.599 0.042 5.020 5.089" Properties=species:S:1:pos:R:3 pbc="T T T"
Te -4.326 6.111 3.608
Ho 0.000 0.000 0.000
Er -3.774 3.092 3.192
Er -2.624 5.055 1.246
Te -2.072 2.037 0.830
```


[14]
Entry from the Alexandria database: Ho2Er2Te7 after structural relaxation (GGA-PBE).

calculated density	7.942	g/cm3
total DFT energy (no corrections)	-4.833	eV per atom
formation energy from raw total energies	-12.89	eV per formula unit

The structure in extended XYZ format:
```
11
Lattice="-0.292 0.991 -4.062 -9.351 -0.883 -1.706 -5.365 7.894 0.149" Properties=species:S:1:pos:R:3 pbc="T T T"
Er -4.037 1.093 -1.606
Te -11.754 6.838 -1.812
Te -2.442 2.951 -3.430
Te -5.531 8.346 -1.892
Te -8.841 7.273 -4.078
Er -11.755 5.184 -4.378
Te -9.484 3.794 -2.718
Te -4.427 4.562 -0.732
Ho -6.801 5.548 -2.483
Te -6.314 2.471 -3.269
Ho -8.437 1.130 -1.280
```


[15]
Entry from the Alexandria database: Ho4Er3Te2 after structural relaxation (GGA-PBE).

calculated density	8.823	g/cm3
total DFT energy (no corrections)	-4.776	eV per atom
formation energy from raw total energies	-4.70	eV per formula unit

The structure in extended XYZ format:
```
9
Lattice="-2.326 -2.950 -0.636 2.109 -3.495 8.495 -5.530 7.026 -0.950" Properties=species:S:1:pos:R:3 pbc="T T T"
Ho -4.693 1.150 0.415
Ho -1.055 -0.569 6.494
Er -1.457 0.764 1.786
Ho -5.731 4.548 -0.136
Te -1.979 -1.681 3.620
Er -4.290 -0.183 5.123
Er 1.054 -1.748 4.248
Te -3.768 2.261 3.289
Ho -0.016 -3.967 7.045
```


[16]
Entry from the Alexandria database: Ho3ErTe after structural relaxation (GGA-PBE).

calculated density	8.476	g/cm3
total DFT energy (no corrections)	-4.614	eV per atom
formation energy from raw total energies	-1.63	eV per formula unit

The structure in extended XYZ format:
```
10
Lattice="-2.178 4.116 3.357 -4.405 -4.352 -2.429 0.380 -5.580 7.087" Properties=species:S:1:pos:R:3 pbc="T T T"
Ho -0.586 -1.159 1.040
Ho -2.140 -3.328 7.600
Te -4.191 0.014 2.172
Ho -4.883 -2.146 4.370
Ho -5.616 -4.658 6.975
Ho -4.062 -2.489 0.416
Er -4.358 -5.548 3.975
Te -2.012 -5.830 5.843
Ho -1.319 -3.671 3.645
Er -1.845 -0.269 4.041
```


[17]
Entry from the Alexandria database: Ho4Er5Te2 after structural relaxation (GGA-PBE).

calculated density	8.692	g/cm3
total DFT energy (no corrections)	-4.569	eV per atom
formation energy from raw total energies	-2.85	eV per formula unit

The structure in extended XYZ format:
```
11
Lattice="-1.613 -4.910 3.095 1.288 -3.438 4.776 -9.705 8.728 9.115" Properties=species:S:1:pos:R:3 pbc="T T T"
Te -6.520 5.254 6.659
Er -9.324 5.268 11.489
Ho -8.298 1.871 12.692
Ho -1.731 -1.491 4.294
Er -4.050 1.613 5.582
Er -0.705 -4.887 5.497
Te -3.509 -4.874 10.327
Ho -7.340 3.374 9.720
Er -5.979 -1.232 11.404
Ho -2.690 -2.994 7.266
Er -5.015 0.190 8.493
```


[18]
Entry from the Alexandria database: Ho2ErTe3 after structural relaxation (GGA-PBE).

calculated density	8.495	g/cm3
E above lowest polymorph	0.027	eV per atom
total DFT energy (no corrections)	-5.089	eV per atom
formation energy from raw total energies	-7.39	eV per formula unit

The structure in extended XYZ format:
```
6
Lattice="-1.712 0.387 3.987 2.190 -5.500 1.475 5.240 5.298 -0.644" Properties=species:S:1:pos:R:3 pbc="T T T"
Te 5.525 0.804 1.105
Ho 4.467 3.573 0.382
Te 1.764 2.842 1.672
Ho 1.250 -3.388 4.436
Er 2.859 0.092 2.409
Te 0.193 -0.620 3.713
```


[19]
Entry from the Alexandria database: HoEr4Te5 after structural relaxation (GGA-PBE).

calculated density	8.570	g/cm3
E above lowest polymorph	0.004	eV per atom
total DFT energy (no corrections)	-5.069	eV per atom
formation energy from raw total energies	-12.15	eV per formula unit

The structure in extended XYZ format:
```
10
Lattice="-0.182 5.612 2.442 -6.695 1.943 2.710 1.618 0.216 7.300" Properties=species:S:1:pos:R:3 pbc="T T T"
Te -3.699 1.767 3.351
Te -4.420 3.378 7.271
Er -4.558 6.172 8.515
Te -0.092 2.819 1.227
Ho 0.000 0.014 0.006
Te -0.840 4.402 5.185
Er -0.702 1.607 3.940
Te -1.561 6.013 9.105
Er -1.444 3.189 7.927
Er -3.816 4.590 4.529
```


[20]
Entry from the Alexandria database: Ho5ErTe4 after structural relaxation (GGA-PBE).

calculated density	8.073	g/cm3
total DFT energy (no corrections)	-4.885	eV per atom
formation energy from raw total energies	-8.83	eV per formula unit

The structure in extended XYZ format:
```
10
Lattice="4.107 0.000 0.000 0.000 8.493 0.132 -2.053 -2.099 8.828" Properties=species:S:1:pos:R:3 pbc="T T T"
Ho 2.053 0.444 5.967
Er 2.053 0.000 0.000
Ho 2.053 4.246 0.066
Te 2.053 4.281 8.713
Te 2.053 -0.166 2.970
Ho 0.000 5.949 2.994
Te 0.000 6.559 5.990
Ho 0.000 2.268 3.385
Te 0.000 2.112 0.247
Ho 2.053 4.125 5.575
```


[21]
Entry from the Alexandria database: HoEr4Te5 after structural relaxation (GGA-PBE).

calculated density	8.540	g/cm3
E above lowest polymorph	0.000	eV per atom
total DFT energy (no corrections)	-5.073	eV per atom
formation energy from raw total energies	-12.19	eV per formula unit

The structure in extended XYZ format:
```
10
Lattice="-1.736 -1.730 -3.503 1.438 -3.847 1.187 -13.158 0.236 9.011" Properties=species:S:1:pos:R:3 pbc="T T T"
Te -2.749 -0.527 1.622
Te -0.149 -2.788 -1.158
Ho 0.000 0.000 0.000
Er -7.853 -4.266 3.389
Er -2.632 -3.265 0.308
Er -5.602 -1.074 3.306
Te -5.277 -3.772 1.869
Er -10.823 -2.076 6.388
Te -8.179 -1.569 4.827
Te -10.706 -4.813 5.073
```


[22]
Entry from the Alexandria database: Ho4ErTe5 after structural relaxation (GGA-PBE).

calculated density	8.457	g/cm3
E above lowest polymorph	0.004	eV per atom
total DFT energy (no corrections)	-5.095	eV per atom
formation energy from raw total energies	-12.36	eV per formula unit

The structure in extended XYZ format:
```
10
Lattice="5.509 0.000 2.657 2.755 6.858 1.329 -0.225 0.000 7.505" Properties=species:S:1:pos:R:3 pbc="T T T"
Te 4.321 1.265 5.135
Ho 4.858 4.056 4.022
Ho 3.193 2.802 7.475
Ho 6.508 5.346 7.642
Te 2.211 4.109 2.470
Te 3.730 5.593 6.361
Er 0.005 0.000 0.002
Ho 1.543 1.512 3.855
Te 2.760 0.000 1.331
Te 5.840 2.748 9.026
```